First-principles (PBE) data for crystalline Mg3BePb at its relaxed geometry, as listed in Alexandria.

Output
Formation enthalpy at 0 K, kJ/mol of formula units: 116
Offset from the most stable computed form, eV per atom: 0.0000
SG: No. 221

a = 4.846 Å, b = 4.846 Å, c = 4.846 Å
α = 90.00°, β = 90.00°, γ = 90.00°
Atoms (fractional coordinates):
Pb (0.500, 0.500, 0.500)
Be (0.000, 0.000, 0.000)
Mg (0.000, 0.500, 0.000)
Mg (0.000, 0.000, 0.500)
Mg (0.500, 0.000, 0.000)


First-principles (PBE) data for crystalline LaHoGe2 at its relaxed geometry, as listed in Alexandria.

Output
Formation enthalpy at 0 K, kJ/mol of formula units: -265
Offset from the most stable computed form, eV per atom: 0.1287
SG: No. 166

a = 4.699 Å, b = 4.699 Å, c = 6.158 Å
α = 67.57°, β = 67.57°, γ = 60.00°
Atoms (fractional coordinates):
Ge (0.262, 0.262, 0.215)
Ge (0.738, 0.738, 0.785)
Ho (0.000, 0.000, 0.000)
La (0.500, 0.500, 0.500)


First-principles (PBE) data for crystalline Ho3Si2I2 at its relaxed geometry, as listed in Alexandria.

Output
E, eV/cell: -32.7
SG: No. 2

a = 4.063 Å, b = 7.177 Å, c = 7.780 Å
α = 98.46°, β = 89.97°, γ = 106.36°
Atoms (fractional coordinates):
Ho (0.000, 0.000, 0.000)
Ho (0.755, 0.510, 0.216)
Ho (0.245, 0.490, 0.784)
Si (0.623, 0.247, 0.895)
Si (0.377, 0.753, 0.105)
I (0.876, 0.753, 0.612)
I (0.124, 0.247, 0.388)


First-principles (PBE) data for crystalline Pr2YSn3Pt4 at its relaxed geometry, as listed in Alexandria.

Output
Formation enthalpy at 0 K, kJ/mol of formula units: -879
SG: No. 115

a = 4.616 Å, b = 4.616 Å, c = 11.138 Å
α = 90.00°, β = 90.00°, γ = 90.00°
Atoms (fractional coordinates):
Pr (0.500, 0.000, 0.220)
Pr (0.000, 0.500, 0.780)
Y (0.500, 0.500, 0.500)
Sn (0.000, 0.000, 0.500)
Sn (0.500, 0.000, 0.876)
Sn (0.000, 0.500, 0.124)
Pt (0.500, 0.500, 0.000)
Pt (0.000, 0.000, 0.000)
Pt (0.500, 0.000, 0.642)
Pt (0.000, 0.500, 0.358)


How do the records compare in calculated volume? In the order shown, they have 22.77 26.43 30.73 23.73 A^3/atom.